# 1
{"formula": "ReSbTe2S", "functional": "PBE", "state": "optimized geometry", "cell": [[5.119, 0.000, 0.000], [0.000, 5.119, 0.000], [0.000, 0.000, 5.313]], "species": ["Re", "Sb", "Te", "Te", "S"], "fractional_positions": [[0.000, 0.000, 0.000], [0.000, 0.000, 0.500], [0.000, 0.500, 0.000], [0.500, 0.000, 0.000], [0.500, 0.500, 0.500]], "e_form_raw_mev_per_atom": 790, "e_tot_ha_per_atom": -0.1693, "spacegroup": "No. 123"}


# 2
{"formula": "ScMnV3", "functional": "PBE", "state": "optimized geometry", "cell": [[4.483, 0.000, 0.000], [0.000, 4.483, 0.000], [0.000, 0.000, 4.483]], "species": ["Sc", "Mn", "V", "V", "V"], "fractional_positions": [[0.000, 0.000, 0.000], [0.500, 0.500, 0.500], [0.000, 0.000, 0.500], [0.000, 0.500, 0.000], [0.500, 0.000, 0.000]], "formation_enthalpy_0k_ev_per_atom": 1.675, "e_tot_ha_per_atom": -0.2534, "spacegroup": "No. 221"}


# 3
{"formula": "Dy12MgAl3", "functional": "PBE", "state": "optimized geometry", "cell": [[4.791, 0.000, 0.000], [0.000, 4.791, 0.000], [0.000, 0.000, 19.190]], "species": ["Dy", "Dy", "Dy", "Dy", "Dy", "Dy", "Dy", "Dy", "Dy", "Dy", "Dy", "Dy", "Mg", "Al", "Al", "Al"], "fractional_positions": [[0.000, 0.000, 0.000], [0.000, 0.000, 0.247], [0.000, 0.000, 0.500], [0.000, 0.000, 0.753], [0.000, 0.500, 0.123], [0.000, 0.500, 0.369], [0.000, 0.500, 0.631], [0.000, 0.500, 0.877], [0.500, 0.000, 0.123], [0.500, 0.000, 0.369], [0.500, 0.000, 0.631], [0.500, 0.000, 0.877], [0.500, 0.500, 0.500], [0.500, 0.500, 0.000], [0.500, 0.500, 0.247], [0.500, 0.500, 0.753]], "formation_enthalpy_0k_ev_per_atom": -0.131, "e_tot_ha_per_atom": -0.1611, "spacegroup": "No. 123"}